Entry from Alexandria: an optimized crystal structure of YGa3PtRh (PBE).

Unit cell a=6.3245 b=12.4750 c=5.6353 alpha=90.00 beta=90.00 gamma=90.00
Closest atoms and distances in Å follow each position.
Space group Cmcm (No. 63)
One atom of each set of equivalent atoms:
Y (0.0000, 0.2267, 0.2500)  1 Rh 2.66, 2 Pt 2.96
Ga (0.0000, 0.3550, 0.7500)  1 Pt 2.49, 1 Rh 2.56
Ga (0.1965, 0.0000, 0.0000)  1 Ga 2.49, 2 Rh 2.50, 2 Pt 2.70
Pt (0.0000, 0.1553, 0.7500)  5 Ga 2.49-2.70
Rh (0.0000, 0.4399, 0.2500)  5 Ga 2.50-2.56, 1 Y 2.66

## Properties
The magnetic moment is 0.0 μB/f.u.



Entry from Alexandria: an optimized crystal structure of Y2Ga4PtRh3 (PBE).

Unit cell a=4.2169 b=4.2169 c=10.2682 alpha=90.00 beta=90.00 gamma=90.00
Closest atoms and distances in Å follow each position.
Space group P-4m2 (No. 115)
One atom of each set of equivalent atoms:
Y (0.0000, 0.5000, 0.2438)  8 Ga 3.19-3.37, 6 Rh 3.25-3.27, 2 Pt 3.27
Ga (0.0000, 0.0000, 0.5000)  4 Rh 2.50
Ga (0.0000, 0.5000, 0.8675)  3 Rh 2.43-2.51, 2 Pt 2.51
Ga (0.5000, 0.5000, 0.5000)  4 Rh 2.50
Pt (0.5000, 0.5000, 0.0000)  4 Ga 2.51
Rh (0.0000, 0.0000, 0.0000)  4 Ga 2.51
Rh (0.0000, 0.5000, 0.6309)  5 Ga 2.43-2.50

## Properties
The magnetic moment is 0.0 μB/f.u.



Entry from Alexandria: an optimized crystal structure of ZnGaPtRh (PBE).

Unit cell a=3.3802 b=4.0874 c=4.1545 alpha=90.00 beta=90.00 gamma=90.00
Closest atoms and distances in Å follow each position.
Space group Pmmm (No. 47)
One atom of each set of equivalent atoms:
Zn (0.0000, 0.0000, 0.0000)  4 Pt 2.65, 4 Rh 2.68, 4 Ga 2.91
Ga (0.0000, 0.5000, 0.5000)  4 Rh 2.65, 4 Pt 2.68, 4 Zn 2.91
Pt (0.5000, 0.5000, 0.0000)  4 Zn 2.65, 4 Ga 2.68, 4 Rh 2.91
Rh (0.5000, 0.0000, 0.5000)  4 Ga 2.65, 4 Zn 2.68, 4 Pt 2.91

## Properties
The magnetic moment is 0.0 μB/f.u.



Entry from Alexandria: an optimized crystal structure of ZrGaPtRh (PBE).

Unit cell a=6.4297 b=6.4297 c=6.4297 alpha=90.00 beta=90.00 gamma=90.00
Closest atoms and distances in Å follow each position.
Space group F-43m (No. 216)
One atom of each set of equivalent atoms:
Zr (0.0000, 0.0000, 0.0000)  4 Pt 2.78, 4 Rh 2.78
Ga (0.0000, 0.0000, 0.5000)  4 Rh 2.78, 4 Pt 2.78
Pt (0.2500, 0.2500, 0.2500)  4 Zr 2.78, 4 Ga 2.78
Rh (0.2500, 0.2500, 0.7500)  4 Zr 2.78, 4 Ga 2.78

## Properties
The value obtained for the energy above the most stable polymorph in this dataset is 0.077 eV/atom. The magnetic moment is 0.0 μB/f.u.



Entry from Alexandria: an optimized crystal structure of ZrGaPtRh (PBE).

Unit cell a=4.1301 b=4.1301 c=7.6615 alpha=90.00 beta=90.00 gamma=90.00
Closest atoms and distances in Å follow each position.
Space group I-4m2 (No. 119)
One atom of each set of equivalent atoms:
Zr (0.0000, 0.0000, 0.0000)  4 Rh 2.82, 4 Pt 2.82, 4 Ga 2.92
Ga (0.0000, 0.0000, 0.5000)  4 Rh 2.82, 4 Pt 2.82, 4 Zr 2.92
Pt (0.0000, 0.5000, 0.7500)  4 Zr 2.82, 4 Ga 2.82, 4 Rh 2.92
Rh (0.0000, 0.5000, 0.2500)  4 Zr 2.82, 4 Ga 2.82, 4 Pt 2.92

## Properties
The value obtained for the energy above the most stable polymorph in this dataset is 0.000 eV/atom. The magnetic moment is 0.0 μB/f.u.



Entry from Alexandria: an optimized crystal structure of Ga2RuPt (PBE).

Unit cell a=3.1081 b=3.1081 c=5.9902 alpha=90.00 beta=90.00 gamma=90.00
Closest atoms and distances in Å follow each position.
Space group P4/mmm (No. 123)
One atom of each set of equivalent atoms:
Ga (0.0000, 0.0000, 0.2359)  4 Ru 2.61, 4 Pt 2.71, 1 Ga 2.83
Ru (0.5000, 0.5000, 0.0000)  8 Ga 2.61
Pt (0.5000, 0.5000, 0.5000)  8 Ga 2.71, 2 Ru 3.00

## Properties
The magnetic moment is 0.0 μB/f.u.



Entry from Alexandria: an optimized crystal structure of GaRuPt2 (PBE).

Unit cell a=3.8037 b=3.8037 c=18.2203 alpha=90.00 beta=90.00 gamma=90.00
Closest atoms and distances in Å follow each position.
Space group I-42d (No. 122)
One atom of each set of equivalent atoms:
Ga (0.0000, 0.0000, 0.0000)  4 Pt 2.65, 4 Ru 2.69
Ru (0.0000, 0.0000, 0.5000)  4 Pt 2.64, 4 Ga 2.69
Pt (0.2477, 0.2500, 0.6250)  2 Ru 2.64, 2 Ga 2.65, 4 Pt 2.68-2.70

## Properties
The magnetic moment is 0.7 μB/f.u.



Entry from Alexandria: an optimized crystal structure of Ga2RuPt (PBE).

Unit cell a=3.7915 b=3.7915 c=15.9755 alpha=90.00 beta=90.00 gamma=120.00
Closest atoms and distances in Å follow each position.
Space group R3m (No. 160, hexagonal axes)
One atom of each set of equivalent atoms:
Ga (0.0000, 0.0000, 0.0000)  3 Pt 2.58, 3 Ru 2.63, 1 Ga 2.71
Ga (0.0000, 0.0000, 0.1696)  3 Pt 2.52, 3 Ru 2.52, 1 Ga 2.71
Ru (0.0000, 0.0000, 0.7575)  6 Ga 2.52-2.63, 1 Pt 2.82
Pt (0.0000, 0.0000, 0.5810)  6 Ga 2.52-2.58, 1 Ru 2.82

## Properties
The magnetic moment is 0.0 μB/f.u.



Entry from Alexandria: an optimized crystal structure of GaRu3Pt (PBE).

Unit cell a=4.8227 b=4.8227 c=4.8227 alpha=90.00 beta=90.00 gamma=90.00
Closest atoms and distances in Å follow each position.
Space group Pm-3m (No. 221)
One atom of each set of equivalent atoms:
Ga (0.0000, 0.0000, 0.0000)  12 Ru 3.41
Ru (0.0000, 0.5000, 0.5000)  2 Pt 2.41
Pt (0.5000, 0.5000, 0.5000)  6 Ru 2.41

## Properties
The value obtained for the energy above the most stable polymorph in this dataset is 0.368 eV/atom. The magnetic moment is 5.1 μB/f.u.



Entry from Alexandria: an optimized crystal structure of Ga2RuPt (PBE).

Unit cell a=6.7541 b=6.7541 c=5.7377 alpha=90.00 beta=90.00 gamma=90.00
Closest atoms and distances in Å follow each position.
Space group I-42d (No. 122)
One atom of each set of equivalent atoms:
Ga (0.2484, 0.2500, 0.1250)  2 Pt 2.49, 2 Ru 2.50
Ru (0.0000, 0.0000, 0.5000)  4 Ga 2.50
Pt (0.0000, 0.0000, 0.0000)  4 Ga 2.49

## Properties
The magnetic moment is 0.0 μB/f.u.



Entry from Alexandria: an optimized crystal structure of GaRuPt (PBE).

Unit cell a=7.3970 b=7.3970 c=2.7992 alpha=90.00 beta=90.00 gamma=120.00
Closest atoms and distances in Å follow each position.
Space group P-62m (No. 189)
One atom of each set of equivalent atoms:
Ga (0.0000, 0.0000, 0.0000)  6 Ru 2.57, 3 Pt 2.76, 2 Ga 2.80
Ga (0.3333, 0.6667, 0.5000)  3 Ru 2.63, 6 Pt 2.72, 2 Ga 2.80
Ru (0.0000, 0.7085, 0.5000)  4 Ga 2.57-2.63, 2 Ru 2.80, 2 Pt 2.84
Pt (0.0000, 0.3738, 0.0000)  5 Ga 2.72-2.76, 2 Pt 2.80, 6 Ru 2.84-2.88

## Properties
The magnetic moment is 0.5 μB/f.u.



Entry from Alexandria: an optimized crystal structure of GaRu2Pt (PBE).

Unit cell a=5.6745 b=5.6745 c=10.8852 alpha=90.00 beta=90.00 gamma=90.00
Closest atoms and distances in Å follow each position.
Space group I-42d (No. 122)
One atom of each set of equivalent atoms:
Ga (0.0000, 0.0000, 0.0000)  4 Ru 2.44
Ru (0.2466, 0.2500, 0.6250)  2 Pt 2.41, 2 Ga 2.44
Pt (0.0000, 0.0000, 0.5000)  4 Ru 2.41

## Properties
The magnetic moment is 0.0 μB/f.u.



Entry from Alexandria: an optimized crystal structure of Ga5Ru4Pt (PBE).

Unit cell a=3.0590 b=3.0590 c=15.1180 alpha=90.00 beta=90.00 gamma=90.00
Closest atoms and distances in Å follow each position.
Space group P4/mmm (No. 123)
One atom of each set of equivalent atoms:
Ga (0.0000, 0.0000, 0.0000)  8 Ru 2.63
Ga (0.0000, 0.0000, 0.1984)  8 Ru 2.63-2.65, 1 Ga 2.92
Ga (0.0000, 0.0000, 0.3913)  4 Ru 2.57, 4 Pt 2.72
Ru (0.5000, 0.5000, 0.0993)  8 Ga 2.63
Ru (0.5000, 0.5000, 0.2997)  8 Ga 2.57-2.65
Pt (0.5000, 0.5000, 0.5000)  8 Ga 2.72, 2 Ru 3.03

## Properties
The magnetic moment is 0.0 μB/f.u.



In order of appearance, Fermi-level density of states = 10.546 4.814 0.553 11.456 1.223 1.021 18.306 7.344 7.752 4.847 12.556 22.456 8.210 states/eV/cell.
In order of appearance, raw total energy = -5.4354 -6.1534 -5.0308 -7.0509 -7.1275 -5.8212 -5.9775 -5.5821 -5.6037 -5.3888 -6.2735 -5.8583 -6.1964 eV per atom.
In order of appearance, energy of formation = -0.613 -0.840 -0.608 -0.809 -0.886 -0.479 0.119 -0.240 1.775 -0.046 -0.159 1.047 -0.369 eV per atom.